(1)
K3NpRh2Se6 after structural relaxation. Source: the Alexandria database, functional PBE.

a b c (Å): 6.749 6.749 8.021
angles (deg): 98.18 98.18 120.01
Sites, in units of the cell vectors:
Rh1 0.667 0.333 0.000
Rh2 0.333 0.667 0.000
Se1 0.699 0.699 0.186
Se2 0.301 0.301 0.814
Se3 0.427 0.063 0.188
Se4 0.573 0.937 0.812
Se5 0.063 0.427 0.188
Se6 0.937 0.573 0.812
K1 0.841 0.159 0.500
K2 0.159 0.841 0.500
K3 0.500 0.500 0.500
Np1 0.000 0.000 0.000

Formation energy from raw total energies ... -0.8589 eV/atom
Total moment ... 3.92 μB per formula unit


(2)
K2Np2RhSe6 after structural relaxation. Source: the Alexandria database, functional PBE.

a b c (Å): 6.799 6.799 8.322
angles (deg): 98.29 98.29 118.98
Sites, in units of the cell vectors:
Se1 0.240 0.240 0.307
Se2 0.620 0.928 0.303
Se3 0.760 0.760 0.693
Se4 0.380 0.072 0.697
Se5 0.928 0.620 0.303
Se6 0.072 0.380 0.697
K1 0.828 0.172 0.000
K2 0.172 0.828 0.000
Np1 0.668 0.332 0.500
Np2 0.332 0.668 0.500
Rh1 0.000 0.000 0.500

Formation energy from raw total energies ... -0.9994 eV/atom
Total moment ... 7.00 μB per formula unit


(3)
KNp2RhSe4 after structural relaxation. Source: the Alexandria database, functional PBE.

a b c (Å): 4.027 7.428 14.301
angles (deg): 90.00 90.00 105.73
Sites, in units of the cell vectors:
Se1 0.437 0.875 0.750
Se2 0.000 0.000 0.500
Se3 0.268 0.536 0.392
Se4 0.732 0.464 0.608
Se5 0.563 0.125 0.250
Se6 0.268 0.536 0.108
Se7 0.000 0.000 0.000
Se8 0.732 0.464 0.892
Np1 0.366 0.733 0.934
Np2 0.366 0.733 0.566
Np3 0.634 0.267 0.066
Np4 0.634 0.267 0.434
Rh1 0.162 0.324 0.250
Rh2 0.838 0.676 0.750
K1 0.888 0.776 0.250
K2 0.112 0.224 0.750

Formation energy from raw total energies ... -1.0247 eV/atom
Total moment ... 6.74 μB per formula unit


(4)
K3Np3RhSe8 after structural relaxation. Source: the Alexandria database, functional PBE.

a b c (Å): 8.157 8.172 9.204
angles (deg): 116.39 90.00 119.94
Sites, in units of the cell vectors:
Se1 0.217 0.434 0.690
Se2 0.244 0.027 0.309
Se3 0.782 0.027 0.309
Se4 0.737 0.474 0.711
Se5 0.263 0.526 0.289
Se6 0.218 0.973 0.691
Se7 0.756 0.973 0.691
Se8 0.783 0.566 0.310
Np1 0.000 0.500 0.500
Np2 0.500 0.500 0.500
Np3 0.500 0.000 0.500
K1 0.000 0.000 0.000
K2 0.500 0.500 0.000
K3 0.000 0.500 0.000
Rh1 0.000 0.000 0.500

Formation energy from raw total energies ... -1.0493 eV/atom
Total moment ... 3.77 μB per formula unit


(5)
K3Np3Te8Rh after structural relaxation. Source: the Alexandria database, functional PBE.

a b c (Å): 8.751 8.751 9.861
angles (deg): 116.26 90.00 120.00
Sites, in units of the cell vectors:
Te1 0.213 0.427 0.690
Te2 0.764 0.977 0.690
Te3 0.787 0.573 0.310
Te4 0.262 0.524 0.286
Te5 0.214 0.977 0.690
Te6 0.786 0.023 0.310
Te7 0.236 0.023 0.310
Te8 0.738 0.476 0.714
Np1 0.500 0.500 0.500
Np2 0.000 0.500 0.500
Np3 0.500 0.000 0.500
K1 0.000 0.000 0.000
K2 0.000 0.500 0.000
K3 0.500 0.500 0.000
Rh1 0.000 0.000 0.500

Formation energy from raw total energies ... -0.7160 eV/atom
Total moment ... 3.81 μB per formula unit


(6)
KNpRuS3 after structural relaxation. Source: the Alexandria database, functional PBE.

a b c (Å): 3.912 8.742 9.256
angles (deg): 107.70 90.00 90.00
Sites, in units of the cell vectors:
K1 0.250 0.195 0.233
K2 0.750 0.805 0.767
Ru1 0.750 0.918 0.407
Ru2 0.250 0.082 0.593
S1 0.750 0.195 0.532
S2 0.250 0.547 0.849
S3 0.750 0.453 0.151
S4 0.250 0.124 0.858
S5 0.750 0.876 0.142
S6 0.250 0.805 0.468
Np1 0.750 0.327 0.843
Np2 0.250 0.673 0.157

Formation energy from raw total energies ... -1.0219 eV/atom
Total moment ... 3.48 μB per formula unit


(7)
K3Np2RuS6 after structural relaxation. Source: the Alexandria database, functional PBE.

a b c (Å): 6.649 6.649 7.797
angles (deg): 98.22 98.22 120.05
Sites, in units of the cell vectors:
Ru1 0.000 0.000 0.000
K1 0.500 0.500 0.500
K2 0.830 0.170 0.500
K3 0.170 0.830 0.500
S1 0.624 0.935 0.804
S2 0.244 0.244 0.803
S3 0.376 0.065 0.196
S4 0.756 0.756 0.197
S5 0.065 0.376 0.196
S6 0.935 0.624 0.804
Np1 0.666 0.334 0.000
Np2 0.334 0.666 0.000

Formation energy from raw total energies ... -1.1164 eV/atom
Total moment ... 7.00 μB per formula unit


(8)
K2NpS4 after structural relaxation. Source: the Alexandria database, functional PBE.

a b c (Å): 4.109 7.861 12.707
angles (deg): 90.00 90.00 90.00
Sites, in units of the cell vectors:
K1 0.500 0.576 0.322
K2 0.500 0.924 0.822
K3 0.500 0.076 0.178
K4 0.500 0.424 0.678
Np1 0.000 0.000 0.500
Np2 0.000 0.500 0.000
S1 0.500 0.195 0.451
S2 0.000 0.620 0.823
S3 0.000 0.120 0.677
S4 0.500 0.695 0.049
S5 0.000 0.380 0.177
S6 0.500 0.305 0.951
S7 0.000 0.880 0.323
S8 0.500 0.805 0.549

Offset from the most stable computed form ... 0.11 eV/f.u.
Formation energy from raw total energies ... -1.1209 eV/atom
Total moment ... 0.99 μB per formula unit


- Among the records above, which one has the lowest total moment?
  K2NpS4


- Which value of formation energy from raw total energies does entry 8 give?
  -1.1209 eV/atom